# Rb3Tl3Bi2 GGA-PBE optimized geometry
data_Rb3Tl3Bi2
_chemical_formula_sum 'Rb12 Tl12 Bi8'
_cell_length_a 10.147
_cell_length_b 18.510
_cell_length_c 7.366
_cell_angle_alpha 90.00
_cell_angle_beta 90.00
_cell_angle_gamma 90.00
_space_group_name_H-M_alt 'P n m a'
_space_group_IT_number 62
loop_
_space_group_symop_operation_xyz
'x,y,z'
'-x,-y,-z'
'-x+1/2,-y,z+1/2'
'x+1/2,y,-z+1/2'
'x+1/2,-y+1/2,-z+1/2'
'-x+1/2,y+1/2,z+1/2'
'-x,y+1/2,-z'
'x,-y+1/2,z'
loop_
_atom_site_label
_atom_site_fract_x
_atom_site_fract_y
_atom_site_fract_z
Rb1 0.024 0.104 0.101
Rb2 0.163 0.250 0.630
Tl1 0.176 0.052 0.542
Tl2 0.183 0.750 0.635
Bi1 0.127 0.608 0.396
# **N(E_F)**: 0.314 states/eV per atom
# **V**: 1383.42 Å³/cell
# **Density**: 6.18 g/cm3
# **Distance to the lowest polymorph of the same formula**: 0.0359 eV per atom
# **Size of the total moment**: 0.0000 μB per atom
# **Formation enthalpy at 0 K**: -0.211 eV/atom